No. 1
BaAcPH: optimized geometry, PBE.

Summary:
Calculated density   6.5 g/cm3
Space-group type   No. 216
Energy above the lowest structure with this stoichiometry   3.45 kcal/mol of atoms
Calculated volume   100.9 Å³/f.u.

Cell lengths 5.2264, 5.2264, 5.2264 Å; angles 60.00, 60.00, 60.00 degrees
Closest atoms and distances in Å follow each position.
Sites, in units of the cell vectors:
Ba1 0.0000 0.0000 0.0000  4 P 3.20, 4 H 3.20
Ac1 0.5000 0.5000 0.5000  4 P 3.20, 4 H 3.20
P1 0.7500 0.7500 0.7500  4 Ba 3.20, 4 Ac 3.20
H1 0.2500 0.2500 0.2500  4 Ba 3.20, 4 Ac 3.20



No. 2
SiPt2Rh: optimized geometry, PBE.

Summary:
Calculated density   14.8 g/cm3
Space-group type   No. 160
Formation energy from raw total energies   -0.4152 eV/atom
Calculated volume   58.4 Å³/f.u.

Cell lengths 8.5639, 8.5639, 8.5639 Å; angles 19.03, 19.03, 19.03 degrees
Closest atoms and distances in Å follow each position.
Sites, in units of the cell vectors:
Si1 0.0000 0.0000 0.0000  3 Rh 2.39, 3 Pt 2.50
Pt1 0.5037 0.5037 0.5037  9 Pt 2.83-2.91, 3 Rh 2.88
Pt2 0.7415 0.7415 0.7415  3 Si 2.50
Rh1 0.2644 0.2644 0.2644  3 Si 2.39